## Ac9LaPm2 (PBE)

Data for Ac9LaPm2 after structural relaxation.

Raw total energy: -4.262 eV/atom
Formation energy: 0.0214 eV/atom
Symmetry: P4/mmm (123)

a b c (Å): 5.5349 5.5349 16.6116
angles (deg): 90.00 90.00 90.00
Last column: nearest neighbours and their distance in Å.
Positions (direct):
Ac  0.0000  0.0000  0.0000  4 La 3.91, 8 Ac 3.93
Ac  0.0000  0.0000  0.3345  8 Ac 3.90-3.91, 4 Pm 3.91
Ac  0.0000  0.0000  0.6655  8 Ac 3.90-3.91, 4 Pm 3.91
Ac  0.0000  0.5000  0.1682  2 Pm 3.90, 8 Ac 3.91-3.93, 2 La 3.93
Ac  0.0000  0.5000  0.5000  8 Ac 3.90-3.91, 4 Pm 3.91
Ac  0.0000  0.5000  0.8318  2 Pm 3.90, 8 Ac 3.91-3.93, 2 La 3.93
Ac  0.5000  0.0000  0.1682  2 Pm 3.90, 8 Ac 3.91-3.93, 2 La 3.93
Ac  0.5000  0.0000  0.5000  8 Ac 3.90-3.91, 4 Pm 3.91
Ac  0.5000  0.0000  0.8318  2 Pm 3.90, 8 Ac 3.91-3.93, 2 La 3.93
La  0.5000  0.5000  0.0000  12 Ac 3.91-3.93
Pm  0.5000  0.5000  0.3340  12 Ac 3.90-3.91
Pm  0.5000  0.5000  0.6660  12 Ac 3.90-3.91